The following is a PBE calculation of a geometry-optimized Na4VSe4 structure, from Alexandria via LeMat-Bulk.

Cell and atoms, written as extended XYZ:
```
9
Lattice="-5.251 -1.654 5.323 7.374 -2.066 0.061 3.436 6.757 -1.082" Properties=species:S:1:pos:R:3 pbc="T T T"
Na 1.061 -1.860 2.692
Na -0.907 2.552 2.121
Na 7.565 3.283 -0.714
Na 3.245 1.408 -0.306
V 0.000 0.000 0.000
Se 6.763 3.312 2.268
Se 2.954 4.453 -0.735
Se 1.327 0.825 1.795
Se 5.325 -0.860 -0.047
```

Crystal system   tetragonal
ΔE_f (raw)   -0.906 eV/atom
Final energy   -4.0545 eV per atom